{
  "formula": "TeMoAsSe2",
  "functional": "SCAN",
  "state": "single point on PBEsol structure",
  "cell": [[4.777, 0.000, 0.000], [0.000, 4.777, 0.000], [0.000, 0.000, 5.042]],
  "species": ["Se", "Se", "Te", "As", "Mo"],
  "fractional_positions": [[0.000, 0.500, 0.000], [0.500, 0.000, 0.000], [0.500, 0.500, 0.500], [0.000, 0.000, 0.500], [0.000, 0.000, 0.000]],
  "formation_energy_uncorrected_ev_per_atom": 0.3628,
  "spacegroup": "P4/mmm"
}

---

{
  "formula": "Ta2AgPb",
  "functional": "SCAN",
  "state": "single point on PBEsol structure",
  "cell": [[2.927, 0.000, 0.000], [0.000, 5.286, 0.013], [0.000, -2.205, 4.804]],
  "species": ["Ag", "Pb", "Ta", "Ta"],
  "fractional_positions": [[0.500, 0.000, 0.000], [0.500, 0.500, 0.500], [0.000, 0.500, 0.000], [0.000, 0.000, 0.500]],
  "spacegroup": "Cmmm",
  "delta_e_f_ev_per_atom": 0.47
}

---

{
  "formula": "LiNi2As",
  "functional": "SCAN",
  "state": "single point on PBEsol structure",
  "cell": [[-1.650, 1.933, -1.061], [-1.680, 0.541, 3.599], [3.807, 2.091, 1.463]],
  "species": ["Li", "As", "Ni", "Ni"],
  "fractional_positions": [[0.696, 0.500, 0.392], [0.314, 0.000, 0.628], [0.042, 0.000, 0.084], [0.437, 0.500, 0.875]],
  "spacegroup": "Amm2",
  "delta_e_f_ev_per_atom": -0.22
}

---

{
  "formula": "Y2CrCl",
  "functional": "SCAN",
  "state": "single point on PBEsol structure",
  "cell": [[3.231, 0.000, 0.000], [-0.586, 5.187, 0.021], [-0.586, -0.048, 5.187]],
  "species": ["Y", "Y", "Cr", "Cl"],
  "fractional_positions": [[0.000, 0.000, 0.500], [0.000, 0.500, 0.000], [0.500, 0.000, 0.000], [0.500, 0.500, 0.500]],
  "formation_energy_uncorrected_ev_per_atom": -0.4039,
  "spacegroup": "C2/m"
}

---

{
  "formula": "Cr2PtRh",
  "functional": "SCAN",
  "state": "single point on PBEsol structure",
  "cell": [[3.698, 0.000, 0.000], [0.000, 3.698, 0.000], [0.000, 0.000, 3.723]],
  "species": ["Cr", "Cr", "Pt", "Rh"],
  "fractional_positions": [[0.000, 0.500, 0.000], [0.500, 0.000, 0.000], [0.500, 0.500, 0.500], [0.000, 0.000, 0.500]],
  "spacegroup": "P4/mmm",
  "delta_e_f_ev_per_atom": -0.21
}

---

{
  "formula": "LaSbAs2",
  "functional": "SCAN",
  "state": "single point on PBEsol structure",
  "cell": [[-1.622, 3.642, -0.939], [-3.952, -1.827, -0.260], [0.120, -0.704, 5.994]],
  "species": ["As", "As", "Sb", "La"],
  "fractional_positions": [[0.981, 0.871, 0.962], [0.241, 0.345, 0.481], [0.754, 0.910, 0.508], [0.525, 0.374, 0.049]],
  "formation_energy_uncorrected_ev_per_atom": -0.8700,
  "spacegroup": "Cm"
}

---

{
  "formula": "TlPt3C",
  "functional": "SCAN",
  "state": "single point on PBEsol structure",
  "cell": [[-3.718, 1.451, 1.396], [-1.969, -2.011, -3.155], [-0.419, -3.425, 2.444]],
  "species": ["Pt", "Pt", "Pt", "Tl", "C"],
  "fractional_positions": [[0.000, 0.000, 0.500], [0.500, 0.000, 0.000], [0.000, 0.500, 0.000], [0.500, 0.500, 0.500], [0.000, 0.000, 0.000]],
  "spacegroup": "Pm-3m",
  "delta_e_f_ev_per_atom": 0.53
}

---

{
  "formula": "Zr2TaAl",
  "functional": "SCAN",
  "state": "single point on PBEsol structure",
  "cell": [[-2.379, 1.658, 0.996], [-2.437, -4.125, 1.043], [2.242, -0.141, 4.677]],
  "species": ["Al", "Zr", "Zr", "Ta"],
  "fractional_positions": [[0.373, 0.000, 0.451], [0.826, 0.500, 0.315], [0.921, 0.000, 0.933], [0.380, 0.500, 0.800]],
  "spacegroup": "Pm",
  "delta_e_f_ev_per_atom": -0.13
}

---

The calculation returns the following DOS at the Fermi energy values, one per record and in order: 4.22; 1.74; 2.04; 2.91; 3.46; 0.10; 2.79; 3.91 states/eV per cell.
The calculation returns the following total magnetic moment values, one per record and in order: 0.00; 0.00; 0.00; 3.37; 1.70; 0.00; 0.00; 0.00 μB per cell.